First-principles (GGA-PBE) data for an optimized crystal structure of PrErPbAu, as listed in Alexandria via LeMat-Bulk.

Unit cell a=7.5645 b=7.5645 c=7.5645 alpha=90.00 beta=90.00 gamma=90.00
With the nearest neighbours (Å) after each atom.
Space group F-43m (No. 216)
Inequivalent atoms, fractional coordinates:
Pr 0.0000 0.0000 0.0000 (multiplicity 4)  4 Pb 3.28, 4 Au 3.28
Er 0.0000 0.0000 0.5000 (multiplicity 4)  4 Pb 3.28, 4 Au 3.28
Pb 0.2500 0.2500 0.2500 (multiplicity 4)  4 Pr 3.28, 4 Er 3.28
Au 0.2500 0.2500 0.7500 (multiplicity 4)  4 Pr 3.28, 4 Er 3.28

Summary:
As for the total energy: -4.67 eV/atom. Its formation energy is -2.35 eV/f.u. The calculation puts the calculated density at 10.9 Mg/m³.